Pb3O5 | meta-GGA SCAN | single point on PBEsol structure

Its total energy is -33.220 eV per atom. As for the symmetry: Cmce.

abc: 7.908 10.890 11.957
angles: 90.00 109.31 90.00
Sites, in units of the cell vectors:
Pb (0.513, 0.750, 0.525)
Pb (0.487, 0.250, 0.475)
Pb (0.668, 0.250, 0.836)
Pb (0.335, 0.498, 0.669)
Pb (0.835, 0.002, 0.669)
Pb (0.500, 0.500, 0.000)
Pb (0.830, 0.250, 0.159)
Pb (0.165, 0.998, 0.331)
Pb (0.168, 0.250, 0.836)
Pb (0.670, 0.750, 0.841)
Pb (0.665, 0.502, 0.331)
Pb (0.326, 0.994, 0.652)
Pb (0.332, 0.750, 0.164)
Pb (0.174, 0.494, 0.348)
Pb (0.826, 0.506, 0.652)
Pb (0.832, 0.750, 0.164)
Pb (0.987, 0.250, 0.475)
Pb (0.500, 0.000, 0.000)
Pb (0.170, 0.750, 0.841)
Pb (0.000, 0.500, 0.000)
Pb (0.330, 0.250, 0.159)
Pb (0.000, 0.000, 0.000)
Pb (0.013, 0.750, 0.525)
Pb (0.674, 0.006, 0.348)
O (0.621, 0.625, 0.690)
O (0.906, 0.892, 0.400)
O (0.006, 0.392, 0.600)
O (0.912, 0.422, 0.823)
O (0.790, 0.378, 0.016)
O (0.379, 0.375, 0.310)
O (0.121, 0.875, 0.690)
O (0.077, 0.892, 0.153)
O (0.076, 0.162, 0.152)
O (0.226, 0.378, 0.016)
O (0.423, 0.392, 0.847)
O (0.069, 0.625, 0.690)
O (0.424, 0.662, 0.848)
O (0.255, 0.833, 0.510)
O (0.994, 0.608, 0.400)
O (0.406, 0.608, 0.400)
O (0.710, 0.878, 0.984)
O (0.755, 0.667, 0.510)
O (0.923, 0.108, 0.847)
O (0.588, 0.922, 0.177)
O (0.094, 0.108, 0.600)
O (0.274, 0.878, 0.984)
O (0.290, 0.122, 0.016)
O (0.577, 0.608, 0.153)
O (0.569, 0.875, 0.690)
O (0.774, 0.622, 0.984)
O (0.576, 0.338, 0.152)
O (0.594, 0.392, 0.600)
O (0.412, 0.078, 0.823)
O (0.931, 0.375, 0.310)
O (0.494, 0.892, 0.400)
O (0.506, 0.108, 0.600)
O (0.726, 0.122, 0.016)
O (0.879, 0.125, 0.310)
O (0.745, 0.167, 0.490)
O (0.088, 0.578, 0.177)
O (0.924, 0.838, 0.848)
O (0.245, 0.333, 0.490)
O (0.431, 0.125, 0.310)
O (0.210, 0.622, 0.984)